--- 1 ---
! Tc3Os (GGA-PBE, optimized geometry); values from VASP
! space group = No. 194
&SYSTEM
  ibrav = 0, nat = 8, ntyp = 2
/
ATOMIC_SPECIES
Tc 98.00 Tc.upf
Os 190.23 Os.upf
CELL_PARAMETERS angstrom
5.516 0.000 0.000
-2.758 4.777 0.000
0.000 0.000 4.396
ATOMIC_POSITIONS crystal
Tc 0.166 0.331 0.250
Tc 0.166 0.834 0.250
Tc 0.331 0.166 0.750
Tc 0.669 0.834 0.250
Tc 0.834 0.166 0.750
Tc 0.834 0.669 0.750
Os 0.333 0.667 0.750
Os 0.667 0.333 0.250

--- 2 ---
! Tc3Os (GGA-PBE, optimized geometry); values from VASP
! space group = No. 59
&SYSTEM
  ibrav = 0, nat = 24, ntyp = 2
/
ATOMIC_SPECIES
Tc 98.00 Tc.upf
Os 190.23 Os.upf
CELL_PARAMETERS angstrom
5.493 0.000 0.000
0.000 13.275 0.000
0.000 0.000 4.775
ATOMIC_POSITIONS crystal
Tc 0.001 0.085 0.165
Tc 0.001 0.415 0.165
Tc 0.001 0.750 0.504
Tc 0.250 0.250 0.995
Tc 0.250 0.585 0.333
Tc 0.250 0.915 0.333
Tc 0.499 0.085 0.165
Tc 0.499 0.415 0.165
Tc 0.499 0.750 0.504
Tc 0.501 0.250 0.496
Tc 0.501 0.585 0.835
Tc 0.501 0.915 0.835
Tc 0.750 0.085 0.667
Tc 0.750 0.415 0.667
Tc 0.750 0.750 0.005
Tc 0.999 0.250 0.496
Tc 0.999 0.585 0.835
Tc 0.999 0.915 0.835
Os 0.250 0.084 0.667
Os 0.250 0.416 0.667
Os 0.250 0.750 0.000
Os 0.750 0.250 0.000
Os 0.750 0.584 0.333
Os 0.750 0.916 0.333

--- 3 ---
! Tc3Os (GGA-PBE, optimized geometry); values from VASP
! space group = No. 12
&SYSTEM
  ibrav = 0, nat = 8, ntyp = 2
/
ATOMIC_SPECIES
Tc 98.00 Tc.upf
Os 190.23 Os.upf
CELL_PARAMETERS angstrom
9.102 0.000 0.000
0.000 2.729 0.000
-0.803 0.000 4.685
ATOMIC_POSITIONS crystal
Tc 0.000 0.000 0.000
Tc 0.247 0.000 0.747
Tc 0.253 0.500 0.253
Tc 0.500 0.500 0.000
Tc 0.747 0.500 0.747
Tc 0.753 0.000 0.253
Os 0.000 0.500 0.500
Os 0.500 0.000 0.500

--- 4 ---
! Tc3Os (GGA-PBE, optimized geometry); values from VASP
! space group = No. 25
&SYSTEM
  ibrav = 0, nat = 4, ntyp = 2
/
ATOMIC_SPECIES
Tc 98.00 Tc.upf
Os 190.23 Os.upf
CELL_PARAMETERS angstrom
2.762 0.000 0.000
0.000 4.377 0.000
0.000 0.000 4.783
ATOMIC_POSITIONS crystal
Tc 0.000 0.000 0.000
Tc 0.000 0.500 0.333
Tc 0.500 0.500 0.834
Os 0.500 0.000 0.500

Question: of the structures shown, which is the least stable? Reply: 3.